# 1
Sm3ThRh8 (GGA-PBE, optimized geometry); space-group type = R3m (160); final energy = -89.0 eV for the cell shown; Fermi-level density of states = 0.55 states/eV per atom; magnetic moment = 0.00 Bohr magnetons per cell
1.0
2.701 1.559 8.800
-2.701 1.559 8.800
0.000 -3.118 8.800
Sm Th Rh
3 1 8
Direct
0.000 0.000 0.000 Sm
0.124 0.124 0.124 Sm
0.628 0.628 0.628 Sm
0.502 0.502 0.502 Th
0.064 0.064 0.561 Rh
0.064 0.561 0.064 Rh
0.065 0.563 0.563 Rh
0.313 0.313 0.313 Rh
0.561 0.064 0.064 Rh
0.563 0.065 0.563 Rh
0.563 0.563 0.065 Rh
0.813 0.813 0.813 Rh

# 2
SmTh2Rh3 (GGA-PBE, optimized geometry); space-group type = P2_1/c (14); final energy = -185.9 eV for the cell shown; Fermi-level density of states = 0.58 states/eV per atom; magnetic moment = 0.00 Bohr magnetons per cell
1.0
5.777 0.000 0.000
0.000 12.231 0.000
-0.005 0.000 8.180
Sm Th Rh
4 8 12
Direct
0.249 0.084 0.384 Sm
0.249 0.416 0.884 Sm
0.751 0.584 0.116 Sm
0.751 0.916 0.616 Sm
0.250 0.083 0.875 Th
0.250 0.417 0.375 Th
0.250 0.749 0.380 Th
0.250 0.751 0.880 Th
0.750 0.249 0.120 Th
0.750 0.251 0.620 Th
0.750 0.583 0.625 Th
0.750 0.917 0.125 Th
0.250 0.247 0.129 Rh
0.250 0.253 0.629 Rh
0.250 0.583 0.627 Rh
0.250 0.917 0.127 Rh
0.251 0.587 0.134 Rh
0.251 0.913 0.634 Rh
0.749 0.087 0.366 Rh
0.749 0.413 0.866 Rh
0.750 0.083 0.873 Rh
0.750 0.417 0.373 Rh
0.750 0.747 0.371 Rh
0.750 0.753 0.871 Rh

# 3
SmTh2Rh (GGA-PBE, optimized geometry); space-group type = P4/mmm (123); final energy = -28.1 eV for the cell shown; relative energy among the computed polymorphs = 3.51 kcal/mol of atoms; Fermi-level density of states = 1.46 states/eV per atom; magnetic moment = 0.00 Bohr magnetons per cell
1.0
3.672 0.000 0.000
0.000 3.672 0.000
0.000 0.000 8.247
Sm Th Rh
1 2 1
Direct
0.000 0.000 0.000 Sm
0.500 0.500 0.300 Th
0.500 0.500 0.700 Th
0.000 0.000 0.500 Rh

| no. | energy of formation from the pure elements (meV per atom) |
| --- | --- |
| 1 | -714 |
| 2 | -809 |
| 3 | -306 |